(1)
Computed, not measured: a relaxed structure of Ce2Ga4PdPt3 at the PBE level of DFT.

abc: 4.268 4.268 10.556
angles: 90.00 90.00 90.00
Fractional positions:
Ce  0.000  0.500  0.243
Ce  0.500  0.000  0.757
Ga  0.000  0.000  0.000
Ga  0.000  0.500  0.630
Ga  0.500  0.000  0.370
Ga  0.500  0.500  0.000
Pd  0.000  0.000  0.500
Pt  0.000  0.500  0.864
Pt  0.500  0.000  0.136
Pt  0.500  0.500  0.500

Results
energy of formation	-0.910	eV per atom
symmetry	P-4m2, No. 115
Fermi-level density of states	12.998	states/eV/cell

(2)
Computed, not measured: a relaxed structure of CeGa3PdPt at the PBE level of DFT.

abc: 7.468 7.468 5.642
angles: 90.00 90.00 133.86
Fractional positions:
Ce  0.203  0.797  0.750
Ce  0.797  0.203  0.250
Ga  0.214  0.214  0.000
Ga  0.214  0.214  0.500
Ga  0.363  0.637  0.250
Ga  0.637  0.363  0.750
Ga  0.786  0.786  0.000
Ga  0.786  0.786  0.500
Pd  0.166  0.834  0.250
Pd  0.834  0.166  0.750
Pt  0.401  0.599  0.750
Pt  0.599  0.401  0.250

Results
energy of formation	-0.543	eV per atom
symmetry	Cmcm, No. 63
Fermi-level density of states	11.838	states/eV/cell

(3)
Computed, not measured: a relaxed structure of Ce2Ga4Pd3Pt at the PBE level of DFT.

abc: 4.295 4.295 10.431
angles: 90.00 90.00 90.00
Fractional positions:
Ce  0.000  0.500  0.247
Ce  0.500  0.000  0.753
Ga  0.000  0.000  0.000
Ga  0.000  0.500  0.630
Ga  0.500  0.000  0.370
Ga  0.500  0.500  0.000
Pd  0.000  0.500  0.867
Pd  0.500  0.000  0.133
Pd  0.500  0.500  0.500
Pt  0.000  0.000  0.500

Results
energy of formation	-0.794	eV per atom
symmetry	P-4m2, No. 115
Fermi-level density of states	14.746	states/eV/cell

(4)
Computed, not measured: a relaxed structure of Ce2Ga3PdPt4 at the PBE level of DFT.

abc: 4.043 4.043 11.723
angles: 90.00 90.00 90.00
Fractional positions:
Ce  0.000  0.500  0.239
Ce  0.500  0.000  0.761
Ga  0.000  0.000  0.000
Ga  0.000  0.500  0.628
Ga  0.500  0.000  0.372
Pd  0.500  0.500  0.000
Pt  0.000  0.000  0.500
Pt  0.000  0.500  0.839
Pt  0.500  0.000  0.161
Pt  0.500  0.500  0.500

Results
energy of formation	-0.895	eV per atom
symmetry	P-4m2, No. 115
Fermi-level density of states	10.679	states/eV/cell

(5)
Computed, not measured: a relaxed structure of CeGaPdPt at the PBE level of DFT.

abc: 4.774 4.774 4.774
angles: 60.00 60.00 60.00
Fractional positions:
Ce  0.000  0.000  0.000
Ga  0.500  0.500  0.500
Pd  0.750  0.750  0.750
Pt  0.250  0.250  0.250

Results
energy of formation	-0.760	eV per atom
symmetry	F-43m, No. 216
Fermi-level density of states	4.475	states/eV/cell

(6)
Computed, not measured: a relaxed structure of CePuGa2Pd2 at the PBE level of DFT.

abc: 4.670 4.670 6.260
angles: 90.00 90.00 120.00
Fractional positions:
Ce  0.000  0.000  0.000
Pu  0.000  0.000  0.500
Ga  0.333  0.667  0.260
Ga  0.667  0.333  0.740
Pd  0.333  0.667  0.748
Pd  0.667  0.333  0.252

Results
energy of formation	-0.666	eV per atom
symmetry	P-3m1, No. 164
Fermi-level density of states	13.738	states/eV/cell

(7)
Computed, not measured: a relaxed structure of CePuGaPd at the PBE level of DFT.

abc: 4.886 4.886 4.886
angles: 60.00 60.00 60.00
Fractional positions:
Ce  0.000  0.000  0.000
Pu  0.250  0.250  0.250
Ga  0.500  0.500  0.500
Pd  0.750  0.750  0.750

Results
energy of formation	-0.475	eV per atom
symmetry	F-43m, No. 216
energy above the lowest structure with this stoichiometry	0.00	kJ/mol of atoms
Fermi-level density of states	6.670	states/eV/cell

(8)
Computed, not measured: a relaxed structure of CePuGaPd at the PBE level of DFT.

abc: 4.797 4.797 5.120
angles: 90.00 90.00 120.00
Fractional positions:
Ce  0.000  0.000  0.000
Pu  0.333  0.667  0.518
Ga  0.667  0.333  0.259
Pd  0.667  0.333  0.757

Results
energy of formation	-0.275	eV per atom
symmetry	P3m1, No. 156
energy above the lowest structure with this stoichiometry	19.27	kJ/mol of atoms
Fermi-level density of states	15.344	states/eV/cell

(9)
Computed, not measured: a relaxed structure of CeGa3PdRh at the PBE level of DFT.

abc: 6.696 6.696 5.972
angles: 90.00 90.00 107.76
Fractional positions:
Ce  0.240  0.760  0.750
Ce  0.760  0.240  0.250
Ga  0.246  0.754  0.250
Ga  0.249  0.249  0.000
Ga  0.249  0.249  0.500
Ga  0.751  0.751  0.000
Ga  0.751  0.751  0.500
Ga  0.754  0.246  0.750
Pd  0.467  0.533  0.250
Pd  0.533  0.467  0.750
Rh  0.025  0.975  0.250
Rh  0.975  0.025  0.750

Results
energy of formation	-0.452	eV per atom
symmetry	Cmcm, No. 63
Fermi-level density of states	17.997	states/eV/cell

(10)
Computed, not measured: a relaxed structure of Ce2Ga4PdRh3 at the PBE level of DFT.

abc: 4.211 4.211 10.516
angles: 90.00 90.00 90.00
Fractional positions:
Ce  0.000  0.500  0.247
Ce  0.500  0.000  0.753
Ga  0.000  0.000  0.000
Ga  0.000  0.500  0.630
Ga  0.500  0.000  0.370
Ga  0.500  0.500  0.000
Pd  0.000  0.000  0.500
Rh  0.000  0.500  0.865
Rh  0.500  0.000  0.135
Rh  0.500  0.500  0.500

Results
energy of formation	-0.764	eV per atom
symmetry	P-4m2, No. 115
Fermi-level density of states	13.220	states/eV/cell

(11)
Computed, not measured: a relaxed structure of CeGaPdRu at the PBE level of DFT.

abc: 4.677 4.677 4.677
angles: 60.00 60.00 60.00
Fractional positions:
Ce  0.000  0.000  0.000
Ga  0.500  0.500  0.500
Pd  0.750  0.750  0.750
Ru  0.250  0.250  0.250

Results
energy of formation	-0.470	eV per atom
symmetry	F-43m, No. 216
Fermi-level density of states	5.001	states/eV/cell

(12)
Computed, not measured: a relaxed structure of Ce2GaSb3Pd4 at the PBE level of DFT.

abc: 4.496 4.496 10.766
angles: 90.00 90.00 90.00
Fractional positions:
Ce  0.000  0.500  0.248
Ce  0.500  0.000  0.752
Ga  0.000  0.000  0.500
Sb  0.000  0.500  0.864
Sb  0.500  0.000  0.136
Sb  0.500  0.500  0.500
Pd  0.000  0.000  0.000
Pd  0.000  0.500  0.624
Pd  0.500  0.000  0.376
Pd  0.500  0.500  0.000

Results
symmetry	P-4m2, No. 115
Fermi-level density of states	15.810	states/eV/cell
uncorrected formation energy	-0.80	eV/atom

(13)
Computed, not measured: a relaxed structure of CeScGa2Pd2 at the PBE level of DFT.

abc: 4.478 4.478 6.681
angles: 90.00 90.00 120.00
Fractional positions:
Ce  0.000  0.000  0.000
Sc  0.000  0.000  0.500
Ga  0.333  0.667  0.286
Ga  0.667  0.333  0.714
Pd  0.333  0.667  0.714
Pd  0.667  0.333  0.286

Results
energy of formation	-0.815	eV per atom
symmetry	P-3m1, No. 164
Fermi-level density of states	6.308	states/eV/cell

(14)
Computed, not measured: a relaxed structure of CeScGaPd at the PBE level of DFT.

abc: 4.948 4.948 4.948
angles: 60.00 60.00 60.00
Fractional positions:
Ce  0.000  0.000  0.000
Sc  0.500  0.500  0.500
Ga  0.750  0.750  0.750
Pd  0.250  0.250  0.250

Results
energy of formation	-0.573	eV per atom
symmetry	F-43m, No. 216
Fermi-level density of states	6.079	states/eV/cell

(15)
Computed, not measured: a relaxed structure of Ce2ScGa4Pd3 at the PBE level of DFT.

abc: 4.156 4.156 11.614
angles: 90.00 90.00 90.00
Fractional positions:
Ce  0.000  0.500  0.234
Ce  0.500  0.000  0.766
Sc  0.000  0.000  0.500
Ga  0.000  0.000  0.000
Ga  0.000  0.500  0.654
Ga  0.500  0.000  0.346
Ga  0.500  0.500  0.000
Pd  0.000  0.500  0.869
Pd  0.500  0.000  0.131
Pd  0.500  0.500  0.500

Results
energy of formation	-0.704	eV per atom
symmetry	P-4m2, No. 115
Fermi-level density of states	13.961	states/eV/cell

(16)
Computed, not measured: a relaxed structure of Ce2GaPdSe5 at the PBE level of DFT.

abc: 9.395 9.395 11.665
angles: 90.00 90.00 154.81
Fractional positions:
Ce  0.114  0.886  0.500
Ce  0.116  0.884  0.880
Ce  0.884  0.116  0.380
Ce  0.886  0.114  0.000
Ga  0.409  0.591  0.677
Ga  0.591  0.409  0.177
Pd  0.258  0.742  0.322
Pd  0.742  0.258  0.822
Se  0.035  0.965  0.262
Se  0.310  0.690  0.534
Se  0.317  0.683  0.855
Se  0.365  0.635  0.191
Se  0.492  0.508  0.487
Se  0.508  0.492  0.987
Se  0.635  0.365  0.691
Se  0.683  0.317  0.355
Se  0.690  0.310  0.034
Se  0.965  0.035  0.762

Results
symmetry	Cmc2_1, No. 36
Fermi-level density of states	18.445	states/eV/cell
uncorrected formation energy	-1.18	eV/atom

(17)
Computed, not measured: a relaxed structure of Ce3GaSi6Pd2 at the PBE level of DFT.

abc: 5.538 5.538 8.782
angles: 90.00 90.00 120.00
Fractional positions:
Ce  0.000  0.000  0.000
Ce  0.333  0.667  0.595
Ce  0.667  0.333  0.405
Ga  0.000  0.000  0.500
Si  0.183  0.366  0.276
Si  0.183  0.817  0.276
Si  0.366  0.183  0.724
Si  0.634  0.817  0.276
Si  0.817  0.183  0.724
Si  0.817  0.634  0.724
Pd  0.333  0.667  0.043
Pd  0.667  0.333  0.957

Results
symmetry	P-3m1, No. 164
Fermi-level density of states	11.998	states/eV/cell
uncorrected formation energy	-0.40	eV/atom

(18)
Computed, not measured: a relaxed structure of CeGa2SiPd at the PBE level of DFT.

abc: 6.061 6.061 6.061
angles: 139.63 139.62 58.42
Fractional positions:
Ce  0.000  0.000  0.000
Ga  0.384  0.384  0.000
Ga  0.748  0.248  0.500
Si  0.612  0.612  0.000
Pd  0.238  0.738  0.500

Results
symmetry	Imm2, No. 44
Fermi-level density of states	6.624	states/eV/cell
uncorrected formation energy	-0.66	eV/atom

(19)
Computed, not measured: a relaxed structure of Ce2SmGa2Pd2 at the PBE level of DFT.

abc: 9.225 9.225 9.225
angles: 27.86 27.86 27.86
Fractional positions:
Ce  0.138  0.138  0.138
Ce  0.862  0.862  0.862
Sm  0.000  0.000  0.000
Ga  0.261  0.261  0.261
Ga  0.739  0.739  0.739
Pd  0.408  0.408  0.408
Pd  0.592  0.592  0.592

Results
energy of formation	-0.678	eV per atom
symmetry	R-3m, No. 166
Fermi-level density of states	7.326	states/eV/cell

(20)
Computed, not measured: a relaxed structure of CeSmGaPd at the PBE level of DFT.

abc: 5.133 5.133 5.133
angles: 60.00 60.00 60.00
Fractional positions:
Ce  0.000  0.000  0.000
Sm  0.500  0.500  0.500
Ga  0.250  0.250  0.250
Pd  0.750  0.750  0.750

Results
energy of formation	-0.547	eV per atom
symmetry	F-43m, No. 216
Fermi-level density of states	7.537	states/eV/cell